# RbSrFeF6

An optimized crystal structure of RbSrFeF6 (PBE+U, Alexandria via LeMat-Bulk).

Electronic total energy, eV per atom: -5.162
Space-group type: P312, No. 149
Spin magnetization, μB/f.u.: 5.18
DOS at the Fermi energy, states/eV/cell: 0.0
V, A^3/atom: 17.8

Lattice parameters (Å, degrees): 5.089 6.027 6.027 120.00 90.00 90.00
Atoms (fractional coordinates):
Rb 0.500 0.667 0.333
Sr 0.000 0.333 0.667
Fe 0.500 0.000 0.000
F 0.727 0.712 0.758
F 0.727 0.242 0.954
F 0.727 0.046 0.288
F 0.273 0.242 0.288
F 0.273 0.712 0.954
F 0.273 0.046 0.758